# 1
A relaxed structure of Pr4Tm15Sc, computed with GGA-PBE.

Results
As for the magnetic moment: 0.00 Bohr magnetons per cell. The calculated formation energy comes out at 0.03 eV/atom.

Lattice parameters (Å, degrees): 4.9946 4.9946 24.8068 90.00 90.00 90.00
Last column: nearest neighbours and their distance in Å.
Fractional coordinates of all 20 atoms:
Pr (0.0000, 0.0000, 0.1015)  12 Tm 3.53-3.55
Pr (0.0000, 0.0000, 0.3024)  12 Tm 3.52-3.57
Pr (0.0000, 0.0000, 0.6976)  12 Tm 3.52-3.57
Pr (0.0000, 0.0000, 0.8985)  12 Tm 3.53-3.55
Tm (0.0000, 0.5000, 0.0000)  8 Tm 3.53-3.54, 4 Pr 3.55
Tm (0.0000, 0.5000, 0.2026)  4 Pr 3.52-3.54, 8 Tm 3.53-3.55
Tm (0.0000, 0.5000, 0.4052)  2 Sc 3.43, 8 Tm 3.43-3.55, 2 Pr 3.57
Tm (0.0000, 0.5000, 0.5948)  2 Sc 3.43, 8 Tm 3.43-3.55, 2 Pr 3.57
Tm (0.0000, 0.5000, 0.7974)  4 Pr 3.52-3.54, 8 Tm 3.53-3.55
Tm (0.5000, 0.0000, 0.0000)  8 Tm 3.53-3.54, 4 Pr 3.55
Tm (0.5000, 0.0000, 0.2026)  4 Pr 3.52-3.54, 8 Tm 3.53-3.55
Tm (0.5000, 0.0000, 0.4052)  2 Sc 3.43, 8 Tm 3.43-3.55, 2 Pr 3.57
Tm (0.5000, 0.0000, 0.5948)  2 Sc 3.43, 8 Tm 3.43-3.55, 2 Pr 3.57
Tm (0.5000, 0.0000, 0.7974)  4 Pr 3.52-3.54, 8 Tm 3.53-3.55
Tm (0.5000, 0.5000, 0.1010)  4 Pr 3.53, 8 Tm 3.54-3.55
Tm (0.5000, 0.5000, 0.3038)  4 Pr 3.53, 8 Tm 3.54-3.55
Tm (0.5000, 0.5000, 0.5000)  8 Tm 3.43, 4 Sc 3.53
Tm (0.5000, 0.5000, 0.6962)  4 Pr 3.53, 8 Tm 3.54-3.55
Tm (0.5000, 0.5000, 0.8990)  4 Pr 3.53, 8 Tm 3.54-3.55
Sc (0.0000, 0.0000, 0.5000)  12 Tm 3.43-3.53


# 2
A relaxed structure of PrTm3Sc7, computed with GGA-PBE.

Results
As for the magnetic moment: 0.00 Bohr magnetons per cell. The calculated formation energy comes out at 0.29 eV/atom.

Lattice parameters (Å, degrees): 7.9743 7.9743 5.4420 109.89 109.89 82.18
Last column: nearest neighbours and their distance in Å.
Fractional coordinates of all 11 atoms:
Pr (0.0000, 0.0000, 0.0000)  2 Sc 2.72
Tm (0.2933, 0.7067, 0.5000)  5 Sc 3.07-3.22
Tm (0.5000, 0.5000, 0.0000)  4 Sc 3.07
Tm (0.7067, 0.2933, 0.5000)  5 Sc 3.07-3.22
Sc (0.0000, 0.0000, 0.5000)  2 Pr 2.72
Sc (0.0925, 0.4729, 0.7829)  2 Tm 3.07-3.22, 5 Sc 3.07-3.38
Sc (0.2928, 0.2928, 0.2936)  2 Tm 3.10, 1 Pr 3.14, 6 Sc 3.35-3.38
Sc (0.4729, 0.0925, 0.7829)  2 Tm 3.07-3.22, 5 Sc 3.07-3.38
Sc (0.5271, 0.9075, 0.2171)  2 Tm 3.07-3.22, 5 Sc 3.07-3.38
Sc (0.7072, 0.7072, 0.7064)  2 Tm 3.10, 1 Pr 3.14, 6 Sc 3.35-3.38
Sc (0.9075, 0.5271, 0.2171)  2 Tm 3.07-3.22, 5 Sc 3.07-3.38


# 3
A relaxed structure of PrTmSc2, computed with GGA-PBE.

Results
As for the magnetic moment: 0.00 Bohr magnetons per cell. The energy above the lowest structure with this stoichiometry comes out at 0.11 eV/f.u. The calculated formation energy comes out at 0.08 eV/atom.

Lattice parameters (Å, degrees): 7.7034 7.7034 7.7034 90.00 90.00 90.00
Last column: nearest neighbours and their distance in Å.
Fractional coordinates of all 16 atoms:
Pr (0.0000, 0.0000, 0.0000)  8 Sc 3.34
Pr (0.0000, 0.5000, 0.5000)  8 Sc 3.34
Pr (0.5000, 0.0000, 0.5000)  8 Sc 3.34
Pr (0.5000, 0.5000, 0.0000)  8 Sc 3.34
Tm (0.0000, 0.0000, 0.5000)  8 Sc 3.34
Tm (0.0000, 0.5000, 0.0000)  8 Sc 3.34
Tm (0.5000, 0.0000, 0.0000)  8 Sc 3.34
Tm (0.5000, 0.5000, 0.5000)  8 Sc 3.34
Sc (0.2500, 0.2500, 0.2500)  4 Pr 3.34, 4 Tm 3.34
Sc (0.2500, 0.2500, 0.7500)  4 Pr 3.34, 4 Tm 3.34
Sc (0.2500, 0.7500, 0.2500)  4 Pr 3.34, 4 Tm 3.34
Sc (0.2500, 0.7500, 0.7500)  4 Pr 3.34, 4 Tm 3.34
Sc (0.7500, 0.2500, 0.2500)  4 Pr 3.34, 4 Tm 3.34
Sc (0.7500, 0.2500, 0.7500)  4 Pr 3.34, 4 Tm 3.34
Sc (0.7500, 0.7500, 0.2500)  4 Pr 3.34, 4 Tm 3.34
Sc (0.7500, 0.7500, 0.7500)  4 Pr 3.34, 4 Tm 3.34


# 4
A relaxed structure of Pr12TmSc3, computed with GGA-PBE.

Results
As for the magnetic moment: 0.00 Bohr magnetons per cell. The calculated formation energy comes out at 0.03 eV/atom.

Lattice parameters (Å, degrees): 5.1046 5.1046 20.4401 90.00 90.00 90.00
Last column: nearest neighbours and their distance in Å.
Fractional coordinates of all 16 atoms:
Pr (0.0000, 0.0000, 0.0000)  8 Pr 3.60, 4 Sc 3.61
Pr (0.0000, 0.0000, 0.2483)  8 Pr 3.60, 4 Sc 3.61
Pr (0.0000, 0.0000, 0.5000)  4 Tm 3.61, 8 Pr 3.65
Pr (0.0000, 0.0000, 0.7517)  8 Pr 3.60, 4 Sc 3.61
Pr (0.0000, 0.5000, 0.1241)  4 Sc 3.60, 8 Pr 3.60-3.61
Pr (0.0000, 0.5000, 0.3723)  2 Sc 3.60, 8 Pr 3.60-3.65, 2 Tm 3.65
Pr (0.0000, 0.5000, 0.6277)  2 Sc 3.60, 8 Pr 3.60-3.65, 2 Tm 3.65
Pr (0.0000, 0.5000, 0.8759)  4 Sc 3.60, 8 Pr 3.60-3.61
Pr (0.5000, 0.0000, 0.1241)  4 Sc 3.60, 8 Pr 3.60-3.61
Pr (0.5000, 0.0000, 0.3723)  2 Sc 3.60, 8 Pr 3.60-3.65, 2 Tm 3.65
Pr (0.5000, 0.0000, 0.6277)  2 Sc 3.60, 8 Pr 3.60-3.65, 2 Tm 3.65
Pr (0.5000, 0.0000, 0.8759)  4 Sc 3.60, 8 Pr 3.60-3.61
Tm (0.5000, 0.5000, 0.5000)  12 Pr 3.61-3.65
Sc (0.5000, 0.5000, 0.0000)  12 Pr 3.60-3.61
Sc (0.5000, 0.5000, 0.2484)  12 Pr 3.60-3.61
Sc (0.5000, 0.5000, 0.7516)  12 Pr 3.60-3.61